DFT (PBE) results for CaSbPb2Cl after structural relaxation.

Geometry as POSCAR:
```
CaSbPb2Cl
1.0
6.663 0.000 0.000
0.000 6.663 0.000
0.000 0.000 6.589
Ca Sb Pb Cl
1 1 2 1
direct
0.000 0.000 0.000
0.000 0.000 0.500
0.000 0.500 0.500
0.500 0.000 0.500
0.500 0.500 0.000
```

Fermi-level density of states ... 1.14 states/eV per atom
E_form (uncorrected) ... 0.187 eV/atom
Crystal system ... tetragonal